1.
VASP calculation (PBE) on La4TcGeCl2 after structural relaxation.

Cell: 7.5102 4.2545 7.8131 Å, 90.00 108.19 90.00°
Space group P2/m (No. 10)
One atom of each set of equivalent atoms:
La 0.2310 0.0000 0.2147
La 0.2347 0.5000 0.7935
Tc 0.0000 0.5000 0.0000
Ge 0.5000 0.0000 0.0000
Cl 0.0000 0.0000 0.5000
Cl 0.5000 0.5000 0.5000

Summary:
The energy relative to the elements, uncorrected comes out at -8.4 eV/f.u. The total energy comes out at -46.756 eV per cell.

---

2.
VASP calculation (PBE) on La8GeTe4Cl3 after structural relaxation.

Cell: 8.7776 8.7776 21.8672 Å, 90.00 90.00 120.00°
Space group R-3m (No. 166, hexagonal axes)
One atom of each set of equivalent atoms:
La 0.0000 0.0000 0.2422
La 0.0041 0.5021 0.2415
Ge 0.0000 0.0000 0.5000
Te 0.0000 0.0000 0.0000
Te 0.0000 0.5000 0.0000
Cl 0.0000 0.5000 0.5000

Summary:
The energy relative to the elements, uncorrected comes out at -24.3 eV/f.u. The total energy comes out at -259.201 eV per cell.

---

3.
VASP calculation (PBE) on La4GeTeCl2 after structural relaxation.

Cell: 7.2592 4.3858 7.8325 Å, 90.00 109.88 90.00°
Space group P2/m (No. 10)
One atom of each set of equivalent atoms:
La 0.2381 0.0000 0.2222
La 0.2533 0.5000 0.7740
Ge 0.5000 0.0000 0.0000
Te 0.5000 0.5000 0.5000
Cl 0.0000 0.0000 0.5000
Cl 0.0000 0.5000 0.0000

Summary:
The energy relative to the elements, uncorrected comes out at -11.7 eV/f.u. The total energy comes out at -42.895 eV per cell.

---

| no. | spin magnetization (μB per formula unit) |
| --- | --- |
| 1 | 0.000 |
| 2 | 0.000 |
| 3 | 0.000 |